1.
The following is a DFT calculation (PBE-GGA) of crystalline TcNiB at its relaxed geometry.

The structure in POSCAR format:
```
TcNiB
1.0
6.135 0.000 -0.006
0.000 2.949 0.000
-5.041 0.000 6.938
Ni B Tc
4 4 4
direct
0.880 0.000 0.453
0.880 0.500 0.953
0.121 0.000 0.852
0.121 0.500 0.352
0.087 0.000 0.150
0.087 0.500 0.650
0.394 0.000 0.395
0.394 0.500 0.895
0.414 0.000 0.702
0.414 0.500 0.202
0.670 0.000 0.092
0.670 0.500 0.592
```

Output
Its magnetization is 0.001 μB per cell. As for the space group: No. 8. The energy above the most stable polymorph in this dataset comes out at 112 meV/atom. The calculated formation energy is -0.6 eV/f.u.

=====

2.
The following is a DFT calculation (PBE-GGA) of crystalline Ce4C2NF at its relaxed geometry.

The structure in POSCAR format:
```
Ce4C2NF
1.0
-3.731 -1.413 -3.239
-2.719 -1.860 3.944
0.969 6.210 0.250
Ce C N F
4 2 1 1
direct
0.997 0.497 0.994
0.503 0.003 0.006
0.757 0.757 0.514
0.243 0.243 0.486
0.250 0.750 0.500
0.000 0.000 0.000
0.750 0.250 0.500
0.500 0.500 0.000
```

Output
The formation energy from raw total energies is -1.129 eV/atom. Its magnetization is 0.240 μB per cell. As for the space group: No. 119.

=====

3.
The following is a DFT calculation (PBE-GGA) of crystalline NaGe2BiO6 at its relaxed geometry.

The structure in POSCAR format:
```
NaGe2BiO6
1.0
5.642 -0.180 -0.187
1.585 7.158 0.241
1.585 -0.025 7.162
Na Ge Bi O
2 4 2 12
direct
0.250 0.319 0.681
0.750 0.681 0.319
0.241 0.794 0.621
0.259 0.379 0.206
0.759 0.206 0.379
0.741 0.621 0.794
0.250 0.884 0.116
0.750 0.116 0.884
0.159 0.967 0.787
0.341 0.213 0.033
0.841 0.033 0.213
0.659 0.787 0.967
0.357 0.865 0.396
0.143 0.604 0.135
0.643 0.135 0.604
0.857 0.396 0.865
0.981 0.684 0.611
0.519 0.389 0.316
0.019 0.316 0.389
0.481 0.611 0.684
```

Output
The formation energy from raw total energies is -1.605 eV/atom. Its magnetization is 0.000 μB per cell. As for the space group: No. 15.

=====

4.
The following is a DFT calculation (PBE-GGA) of crystalline Hg2PdPb8 at its relaxed geometry.

The structure in POSCAR format:
```
Hg2PdPb8
1.0
-3.889 -0.587 -3.016
-1.407 -8.159 3.402
-1.680 7.215 4.834
Hg Pd Pb
2 1 8
direct
0.198 0.698 0.397
0.802 0.302 0.603
0.500 0.000 0.000
0.650 0.885 0.300
0.350 0.586 0.700
0.128 0.128 0.255
0.000 0.306 0.000
0.872 0.872 0.745
0.650 0.414 0.300
0.350 0.115 0.700
0.000 0.694 0.000
```

Output
Its magnetization is 0.000 μB per cell. As for the space group: No. 71. The energy above the most stable polymorph in this dataset comes out at 25 meV/atom. The calculated formation energy is 0.3 eV/f.u.